Compound: Co2NiH
Source: the Alexandria database
Functional: PBE
Structure: optimized geometry

Summary:
E = -22.43 eV per formula unit

a = 5.5606 Å, b = 5.5606 Å, c = 4.6999 Å
α = 90.00°, β = 90.00°, γ = 90.00°
Closest atoms and distances in Å follow each position.
Space group I-42d (No. 122)
Inequivalent atoms, fractional coordinates:
Co 0.1504 0.2500 0.1250 x8  2 H 1.73
Ni 0.0000 0.0000 0.5000 x4  2 H 2.35, 8 Co 2.40-2.46
H 0.0000 0.0000 0.0000 x4  4 Co 1.73

Compound: CoNi2H
Source: the Alexandria database
Functional: PBE
Structure: optimized geometry

Summary:
E = -21.79 eV per formula unit

a = 2.5059 Å, b = 2.5059 Å, c = 6.5049 Å
α = 90.00°, β = 90.00°, γ = 120.00°
Closest atoms and distances in Å follow each position.
Space group P-6m2 (No. 187)
Inequivalent atoms, fractional coordinates:
Co 0.0000 0.0000 0.0000 x1  6 Ni 2.49, 6 Co 2.51
Ni 0.6667 0.3333 0.3108 x2  3 H 1.90
H 0.3333 0.6667 0.5000 x1  6 Ni 1.90

Compound: CoNi3H
Source: the Alexandria database
Functional: PBE
Structure: optimized geometry

Summary:
E = -20.12 eV per formula unit

a = 4.2731 Å, b = 4.2731 Å, c = 4.2731 Å
α = 90.00°, β = 90.00°, γ = 90.00°
Closest atoms and distances in Å follow each position.
Space group Pm-3m (No. 221)
Inequivalent atoms, fractional coordinates:
Co 0.0000 0.0000 0.0000 x1  6 Ni 2.14
Ni 0.0000 0.0000 0.5000 x3  2 Co 2.14
H 0.5000 0.5000 0.5000 x1  12 Ni 3.02

- Which of these has the highest E?
  CoNi3H

- Which formula does entry 2 have?
  CoNi2H

- The lowest E belongs to which entry?
  Co2NiH